Crystalline Pr9Sm4Ag11 at its relaxed geometry. Source: Alexandria via LeMat-Bulk, functional GGA-PBE.

Cell: 15.5853 22.9379 3.6378 Å, 90.00 90.00 90.00°
Space group Cmmm (No. 65)
Asymmetric unit:
Pr 0.0000 0.0000 0.0000 [2 per cell]
Pr 0.1161 0.2455 0.0000 [8 per cell]
Pr 0.1265 0.4173 0.0000 [8 per cell]
Sm 0.1476 0.0937 0.0000 [8 per cell]
Ag 0.0000 0.1446 0.5000 [4 per cell]
Ag 0.0000 0.3362 0.5000 [4 per cell]
Ag 0.0000 0.5000 0.5000 [2 per cell]
Ag 0.2362 0.0000 0.5000 [4 per cell]
Ag 0.2405 0.3225 0.5000 [8 per cell]

VASP energy (Ha/atom): -0.1490
Calculated formation energy (eV per atom): -0.1677